Entry 1:
DFT (PBE-GGA) results for a geometry-optimized Pr2GdHf structure.

Values from the calculation:
The density of states at the Fermi level comes out at 5.7 states/eV/f.u. The energy relative to the lowest polymorph listed for this composition is 35 meV per atom. As for the volume: 124.2 Å³ per cell. As for the calculated formation energy: 0.2201 eV/atom. Its crystal system is tetragonal.

extended XYZ file:
```
4
Lattice="4.0611 0.0000 0.0000 0.0000 4.0611 0.0000 0.0000 0.0000 7.5276" Properties=species:S:1:pos:R:3 pbc="T T T"
Pr 0.0000 0.0000 1.6584
Pr 0.0000 0.0000 5.8692
Gd 2.0306 2.0306 3.7638
Hf 2.0306 2.0306 0.0000
```

Entry 2:
DFT (PBE-GGA) results for a geometry-optimized KAl2Hg structure.

Values from the calculation:
The density of states at the Fermi level comes out at 2.1 states/eV/f.u. As for the volume: 259.3 Å³ per cell. As for the calculated formation energy: 0.2154 eV/atom. Its crystal system is tetragonal.

extended XYZ file:
```
8
Lattice="-2.5812 2.5812 9.7308 2.5812 -2.5812 9.7308 2.5812 2.5812 -9.7308" Properties=species:S:1:pos:R:3 pbc="T T T"
K 2.5812 1.2906 2.4327
K 0.0000 1.2906 7.2981
Al 0.0000 0.0000 0.0000
Al 1.2906 1.2906 -4.8654
Al 1.2906 -1.2906 4.8654
Al 0.0000 2.5812 0.0000
Hg 2.5812 -1.2906 7.2981
Hg 0.0000 3.8718 2.4327
```

Entry 3:
DFT (PBE-GGA) results for a geometry-optimized ErScAgRh structure.

Values from the calculation:
The density of states at the Fermi level comes out at 3.5 states/eV/f.u. The energy relative to the lowest polymorph listed for this composition is 32 meV per atom. As for the volume: 79.7 Å³ per cell. As for the calculated formation energy: -0.5895 eV/atom. Its crystal system is cubic.

extended XYZ file:
```
4
Lattice="0.0000 3.4161 3.4161 3.4161 0.0000 3.4161 3.4161 3.4161 0.0000" Properties=species:S:1:pos:R:3 pbc="T T T"
Er 0.0000 0.0000 0.0000
Sc 3.4161 3.4161 3.4161
Ag 5.1242 5.1242 5.1242
Rh 1.7081 1.7081 1.7081
```

Entry 4:
DFT (PBE-GGA) results for a geometry-optimized CaTc2As structure.

Values from the calculation:
The density of states at the Fermi level comes out at 4.1 states/eV/f.u. As for the volume: 76.5 Å³ per cell. As for the calculated formation energy: 0.1642 eV/atom. Its crystal system is monoclinic.

extended XYZ file:
```
4
Lattice="4.6358 -1.6755 0.0000 4.6358 1.6755 0.0000 -1.2777 0.0000 4.9237" Properties=species:S:1:pos:R:3 pbc="T T T"
Ca 0.0000 0.0000 0.0000
Tc 1.2602 0.0000 3.2296
Tc 6.7338 0.0000 1.6941
As 3.9970 0.0000 2.4618
```

Look up the density of states at the Fermi level of the second one.
2.1 states/eV/f.u.